[1]
## SrEu4O5 (PBE)

Data for SrEu4O5 after structural relaxation.

abc: 6.2558 6.2558 6.2558
angles: 99.59 99.59 131.82
With the nearest neighbours (Å) after each atom.
Fractional coordinates of all 10 atoms:
1 O 0.6958 0.8981 0.5939  5 Eu 2.51-2.55, 1 Sr 2.59
2 Eu 0.8006 0.5998 0.4004  6 O 2.51-2.56
3 O 0.3042 0.1019 0.4061  5 Eu 2.51-2.55, 1 Sr 2.59
4 O 0.1019 0.6958 0.7977  5 Eu 2.51-2.55, 1 Sr 2.59
5 O 0.8981 0.3042 0.2023  5 Eu 2.51-2.55, 1 Sr 2.59
6 Eu 0.1994 0.4002 0.5996  6 O 2.51-2.56
7 Sr 0.0000 0.0000 0.0000  6 O 2.55-2.59
8 O 0.5000 0.5000 0.0000  2 Sr 2.55, 4 Eu 2.56
9 Eu 0.5998 0.1994 0.7992  6 O 2.51-2.56
10 Eu 0.4002 0.8006 0.2008  6 O 2.51-2.56

Summary:
**Volume**: 16.66 Å³/atom
**Energy**: -95.17 eV/f.u.
**Symmetry**: I4/m

=====

[2]
## CrSbSe2N (PBE)

Data for CrSbSe2N after structural relaxation.

abc: 5.1042 5.1042 3.5901
angles: 90.00 90.00 90.00
With the nearest neighbours (Å) after each atom.
Fractional coordinates of all 5 atoms:
1 Cr 0.0000 0.0000 0.0000  2 N 1.80
2 N 0.0000 0.0000 0.5000  2 Cr 1.80
3 Se 0.0000 0.5000 0.0000  2 Cr 2.55
4 Se 0.5000 0.0000 0.0000  2 Cr 2.55
5 Sb 0.5000 0.5000 0.5000  8 Se 3.12

Summary:
**Volume**: 18.71 Å³/atom
**Offset from the most stable computed form**: 0.0000 eV/atom
**Symmetry**: P4/mmm

=====

[3]
## Y2PaTl3S6 (PBE)

Data for Y2PaTl3S6 after structural relaxation.

abc: 6.9338 6.9338 8.3362
angles: 98.41 98.41 120.08
With the nearest neighbours (Å) after each atom.
Fractional coordinates of all 12 atoms:
1 Y 0.6661 0.3339 0.0000  6 S 2.75-2.76
2 Tl 0.8244 0.1756 0.5000  6 S 3.35-3.45
3 S 0.7369 0.7369 0.1874  1 Pa 2.73, 2 Y 2.76
4 Pa 0.0000 0.0000 0.0000  6 S 2.71-2.73
5 S 0.2631 0.2631 0.8126  1 Pa 2.73, 2 Y 2.76
6 Tl 0.5000 0.5000 0.5000  6 S 3.38-3.46
7 S 0.6061 0.9347 0.8153  1 Pa 2.71, 2 Y 2.75-2.76
8 S 0.0653 0.3939 0.1847  1 Pa 2.71, 2 Y 2.75-2.76
9 S 0.9347 0.6061 0.8153  1 Pa 2.71, 2 Y 2.75-2.76
10 Y 0.3339 0.6661 0.0000  6 S 2.75-2.76
11 S 0.3939 0.0653 0.1847  1 Pa 2.71, 2 Y 2.75-2.76
12 Tl 0.1756 0.8244 0.5000  6 S 3.35-3.45

Summary:
**Volume**: 27.63 Å³/atom
**Energy**: -70.46 eV/f.u.
**Symmetry**: C2/m

=====

[4]
## Mg2Pd2Au3 (PBE)

Data for Mg2Pd2Au3 after structural relaxation.

abc: 4.0778 4.9572 7.6466
angles: 107.91 105.60 114.38
With the nearest neighbours (Å) after each atom.
Fractional coordinates of all 7 atoms:
1 Au 0.7129 0.8532 0.5745  4 Au 2.84-2.92, 5 Mg 2.88-2.99, 3 Pd 2.89-2.91
2 Mg 0.1523 0.5729 0.7338  4 Pd 2.78-2.90, 7 Au 2.85-2.99
3 Pd 0.5698 0.2854 0.8543  4 Mg 2.78-2.90, 6 Au 2.87-2.91, 2 Pd 2.92-2.93
4 Au 0.0000 0.0000 0.0000  4 Mg 2.85, 6 Pd 2.87-2.88, 2 Au 2.88
5 Pd 0.4302 0.7146 0.1457  4 Mg 2.78-2.90, 6 Au 2.87-2.91, 2 Pd 2.92-2.93
6 Mg 0.8477 0.4271 0.2662  4 Pd 2.78-2.90, 7 Au 2.85-2.99
7 Au 0.2871 0.1468 0.4255  4 Au 2.84-2.92, 5 Mg 2.88-2.99, 3 Pd 2.89-2.91

Summary:
**Volume**: 17.02 Å³/atom
**Offset from the most stable computed form**: 0.0000 eV/atom
**Symmetry**: P-1
**ΔH_f (0 K)**: -503 meV per atom

=====

[5]
## RbSi2P (PBE)

Data for RbSi2P after structural relaxation.

abc: 4.9201 4.9201 9.1117
angles: 74.34 74.34 90.00
With the nearest neighbours (Å) after each atom.
Fractional coordinates of all 8 atoms:
1 P 0.5000 0.5000 0.0000  4 Si 2.44
2 Si 0.3750 0.6252 0.7500  2 P 2.44, 2 Si 2.46
3 Si 0.8750 0.6248 0.7500  2 P 2.44, 2 Si 2.46
4 Rb 0.7500 0.2500 0.5000  8 Si 3.46, 4 P 3.48
5 Si 0.3748 0.1250 0.2500  2 P 2.44, 2 Si 2.46
6 Si 0.3752 0.6250 0.2500  2 P 2.44, 2 Si 2.46
7 P 0.2500 0.7500 0.5000  4 Si 2.44
8 Rb 0.0000 0.0000 0.0000  8 Si 3.46, 4 P 3.48

Summary:
**Volume**: 25.48 Å³/atom
**Energy**: -16.42 eV/f.u.
**Symmetry**: I4_1/amd

=====

[6]
## Rh3Pb4 (PBE)

Data for Rh3Pb4 after structural relaxation.

abc: 11.6153 11.6153 11.6153
angles: 161.92 161.92 25.68
With the nearest neighbours (Å) after each atom.
Fractional coordinates of all 7 atoms:
1 Pb 0.4316 0.4316 0.0000  5 Rh 3.01-3.17, 1 Pb 3.10
2 Pb 0.8321 0.8321 0.0000  5 Rh 2.74-2.80
3 Rh 0.2914 0.2914 0.0000  5 Pb 2.74-2.80
4 Rh 0.0000 0.0000 0.0000  8 Pb 3.01
5 Rh 0.7086 0.7086 0.0000  5 Pb 2.74-2.80
6 Pb 0.5684 0.5684 0.0000  5 Rh 3.01-3.17, 1 Pb 3.10
7 Pb 0.1679 0.1679 0.0000  5 Rh 2.74-2.80

Summary:
**Volume**: 21.56 Å³/atom
**Offset from the most stable computed form**: 0.0992 eV/atom
**Symmetry**: I4/mmm
**ΔH_f (0 K)**: 79 meV per atom